# TmTh3P4

A relaxed structure of TmTh3P4 (GGA-PBE, the Alexandria database).

a b c (Å): 7.0940 8.1815 7.1060
angles (deg): 90.00 109.32 90.00
Closest atoms and distances in Å follow each position.
Space group P2/c (No. 13)
Asymmetric unit:
Tm 0.0000 0.1236 0.2500 (multiplicity 2)  6 P 2.84-2.85
Th 0.0000 0.3735 0.7500 (multiplicity 2)  6 P 2.90-2.91
Th 0.5000 0.1242 0.7500 (multiplicity 2)  6 P 2.89-2.95
Th 0.5000 0.3737 0.2500 (multiplicity 2)  6 P 2.89-2.96
P 0.2419 0.1204 0.0006 (multiplicity 4)  2 Tm 2.84-2.85, 4 Th 2.89-2.95
P 0.2460 0.3704 0.4951 (multiplicity 4)  1 Tm 2.85, 5 Th 2.89-2.96

Computed properties:
- mass density (g/cm³) = 8.438
- DFT formation energy (kJ per mole of atoms) = -150